one) ## OsPb2Au (GGA-PBE)

Data for a relaxed OsPb2Au crystal.

Calculated values
Symmetry ... No. 12

The structure in extended XYZ format:
```
4
Lattice="4.565 -1.710 0.000 4.565 1.710 0.000 -1.137 0.000 5.577" Properties=species:S:1:pos:R:3 pbc="T T T"
Os 0.000 0.000 0.000
Pb 1.507 0.000 4.285
Pb 6.486 0.000 1.291
Au 3.997 0.000 2.788
```

two) ## OsPb2Au (GGA-PBE)

Data for a relaxed OsPb2Au crystal.

Calculated values
Symmetry ... No. 139

The structure in extended XYZ format:
```
4
Lattice="-2.316 2.316 3.983 2.316 -2.316 3.983 2.316 2.316 -3.983" Properties=species:S:1:pos:R:3 pbc="T T T"
Os 0.000 0.000 0.000
Pb 2.316 0.000 1.991
Pb 0.000 2.316 1.991
Au 0.000 0.000 3.983
```

three) ## OsPb2Au (GGA-PBE)

Data for a relaxed OsPb2Au crystal.

Calculated values
Symmetry ... No. 38

The structure in extended XYZ format:
```
4
Lattice="4.633 0.000 0.000 0.000 1.741 5.370 0.000 -1.741 5.370" Properties=species:S:1:pos:R:3 pbc="T T T"
Os 0.000 0.000 0.000
Pb 0.000 0.000 2.932
Pb 2.316 0.000 6.140
Au 2.316 0.000 9.050
```

four) ## OsPb2Au (GGA-PBE)

Data for a relaxed OsPb2Au crystal.

Calculated values
Symmetry ... No. 44

The structure in extended XYZ format:
```
4
Lattice="-1.553 2.293 6.575 1.553 -2.293 6.575 1.553 2.293 -6.575" Properties=species:S:1:pos:R:3 pbc="T T T"
Os 0.000 0.000 0.000
Pb 1.553 0.000 2.663
Pb 0.000 0.000 6.524
Au 0.000 2.293 4.209
```

What is the least stable structure shown above? It is one).